[1]
Computed, not measured: crystalline Th3CuSi3 at its relaxed geometry at the PBE level of DFT.

Cell lengths 4.1601, 5.8530, 14.1338 Å; angles 91.75, 81.54, 69.18 degrees
Fractional positions:
Cu 0.2794 0.8157 0.6255
Cu 0.7206 0.1843 0.3745
Th 0.7663 0.6886 0.7788
Th 0.4047 0.2711 0.9196
Th 0.5820 0.2347 0.6013
Th 0.5953 0.7289 0.0804
Th 0.4180 0.7653 0.3987
Th 0.2337 0.3114 0.2212
Si 0.1155 0.8379 0.9310
Si 0.8874 0.6630 0.5621
Si 0.8845 0.1621 0.0690
Si 0.1126 0.3370 0.4379
Si 0.0571 0.1269 0.7588
Si 0.9429 0.8731 0.2412

Results
- Symmetry: C2/m, No. 12
- Energy relative to the elements, uncorrected: -0.664 eV per atom
- M_tot: 0.00 μB/f.u.

=====

[2]
Computed, not measured: crystalline HfZnPd at its relaxed geometry at the PBE level of DFT.

Cell lengths 2.8874, 4.4919, 4.4919 Å; angles 120.00, 90.00, 90.00 degrees
Fractional positions:
Pd 0.1669 0.6667 0.3333
Hf 0.6665 0.3333 0.6667
Zn 0.1666 0.0000 0.0000

Results
- Energy of formation: -0.505 eV per atom
- Symmetry: P-6m2, No. 187
- M_tot: 0.00 μB/f.u.

=====

[3]
Computed, not measured: crystalline YLu2Zn at its relaxed geometry at the PBE level of DFT.

Cell lengths 3.5084, 3.5084, 10.3610 Å; angles 80.25, 80.25, 60.00 degrees
Fractional positions:
Zn 0.0000 0.0000 0.0000
Lu 0.7388 0.7388 0.7837
Lu 0.2612 0.2612 0.2163
Y 0.5000 0.5000 0.5000

Results
- Energy of formation: -0.063 eV per atom
- Energy relative to the lowest polymorph listed for this composition: 107 meV/atom
- Symmetry: R-3m, No. 166
- M_tot: 0.00 μB/f.u.

=====

[4]
Computed, not measured: crystalline Tm12NiPb6 at its relaxed geometry at the PBE level of DFT.

Cell lengths 8.5214, 8.5214, 8.5214 Å; angles 99.49, 99.49, 99.49 degrees
Fractional positions:
Pb 0.8822 0.3480 0.6809
Pb 0.6809 0.8822 0.3480
Pb 0.6520 0.3191 0.1178
Pb 0.3480 0.6809 0.8822
Pb 0.3191 0.1178 0.6520
Pb 0.1178 0.6520 0.3191
Tm 0.5833 0.4552 0.7964
Tm 0.9977 0.3084 0.0538
Tm 0.6916 0.9462 0.0023
Tm 0.0023 0.6916 0.9462
Tm 0.9462 0.0023 0.6916
Tm 0.2036 0.4167 0.5448
Tm 0.5448 0.2036 0.4167
Tm 0.4552 0.7964 0.5833
Tm 0.3084 0.0538 0.9977
Tm 0.4167 0.5448 0.2036
Tm 0.7964 0.5833 0.4552
Tm 0.0538 0.9977 0.3084
Ni 0.0000 0.0000 0.0000

Results
- Energy of formation: -0.217 eV per atom
- Symmetry: R-3, No. 148
- M_tot: 0.00 μB/f.u.

=====

[5]
Computed, not measured: crystalline BaSiPt4 at its relaxed geometry at the PBE level of DFT.

Cell lengths 5.5013, 5.5013, 5.5013 Å; angles 60.00, 60.00, 60.00 degrees
Fractional positions:
Pt 0.8718 0.3761 0.3761
Pt 0.3761 0.3761 0.8718
Pt 0.3761 0.3761 0.3761
Pt 0.3761 0.8718 0.3761
Ba 0.0000 0.0000 0.0000
Si 0.7500 0.7500 0.7500

Results
- Symmetry: F-43m, No. 216
- Energy relative to the elements, uncorrected: -0.216 eV per atom
- M_tot: 0.00 μB/f.u.

=====

[6]
Computed, not measured: crystalline LiFeTc2Au at its relaxed geometry at the PBE level of DFT.

Cell lengths 4.1304, 4.0019, 4.1304 Å; angles 90.00, 90.00, 90.00 degrees
Fractional positions:
Tc 0.0000 0.0000 0.5000
Tc 0.5000 0.0000 0.0000
Fe 0.0000 0.5000 0.0000
Au 0.5000 0.5000 0.5000
Li 0.0000 0.0000 0.0000

Results
- Energy of formation: 1.209 eV per atom
- Symmetry: P4/mmm, No. 123
- M_tot: 0.00 μB/f.u.